Density functional theory data (PBE) for a relaxed structure of HoEr4In5.

abc: 3.708 3.708 18.963
angles: 90.00 90.00 90.00
Atoms (fractional coordinates):
1 In 0.500 0.500 0.699
2 In 0.500 0.500 0.500
3 Er 0.000 0.000 0.400
4 Er 0.000 0.000 0.600
5 In 0.500 0.500 0.301
6 In 0.500 0.500 0.899
7 In 0.500 0.500 0.101
8 Er 0.000 0.000 0.201
9 Ho 0.000 0.000 0.000
10 Er 0.000 0.000 0.799

## Properties
The calculation puts the calculated volume at 26.072 Å³ per atom. As for the mass density: 8.97 Mg/m³. Its formation energy is -443 meV per atom.